No. 1
The following is a DFT calculation (GGA-PBE) of Sc6SiGe2S3 after structural relaxation.

a = 3.7707 Å, b = 7.6614 Å, c = 8.5427 Å
α = 104.73°, β = 102.75°, γ = 90.00°
Positions (direct):
Sc 0.3347 0.4149 0.6694
Sc 0.6653 0.5851 0.3306
Sc 0.9988 0.2488 0.9977
Sc 0.0012 0.7512 0.0023
S 0.1668 0.8335 0.3336
S 0.5000 0.5000 0.0000
Sc 0.6665 0.0806 0.3331
Ge 0.1667 0.3333 0.3334
Ge 0.8333 0.6667 0.6666
Si 0.5000 0.0000 0.0000
Sc 0.3335 0.9194 0.6669
S 0.8332 0.1665 0.6664

---

No. 2
The following is a DFT calculation (GGA-PBE) of NpUAsN2 after structural relaxation.

a = 3.7771 Å, b = 3.7771 Å, c = 6.4582 Å
α = 107.00°, β = 107.00°, γ = 90.00°
Positions (direct):
N 0.7472 0.2472 0.4944
N 0.2472 0.7472 0.4944
As 0.5021 0.5021 0.0043
Np 0.8524 0.8524 0.7048
U 0.1511 0.1511 0.3021

---

No. 3
The following is a DFT calculation (GGA-PBE) of Tb3Al9Ag2 after structural relaxation.

Summary:
Energy of formation from the pure elements ... -37.7 kJ per mole of atoms

a = 4.3225 Å, b = 8.3395 Å, c = 8.3395 Å
α = 75.02°, β = 74.98°, γ = 74.98°
Positions (direct):
Al 0.6611 0.7115 0.9664
Al 0.3389 0.0336 0.2885
Al 0.1350 0.1435 0.5865
Ag 0.5000 0.2902 0.7098
Tb 0.6904 0.3096 0.3096
Al 0.6611 0.9664 0.7115
Al 0.1350 0.5865 0.1435
Al 0.8650 0.8565 0.4135
Ag 0.5000 0.7098 0.2902
Tb 0.3096 0.6904 0.6904
Tb 0.0000 0.0000 0.0000
Al 0.8650 0.4135 0.8565
Al 0.3389 0.2885 0.0336
Al 0.0000 0.5000 0.5000

---

No. 4
The following is a DFT calculation (GGA-PBE) of KZrIn after structural relaxation.

Summary:
E above lowest polymorph ... 105 meV/atom
Energy of formation from the pure elements ... 5.1 kJ per mole of atoms

a = 12.6990 Å, b = 5.0159 Å, c = 3.3983 Å
α = 90.00°, β = 89.68°, γ = 90.00°
Positions (direct):
Zr 0.2305 0.5000 0.5914
Zr 0.0403 0.5000 0.0953
In 0.9869 0.0000 0.5965
K 0.7657 0.5000 0.1061
K 0.4666 0.0000 0.5839
In 0.2050 0.0000 0.0918

---

no.,E_tot (eV per cell),total moment (μB per formula unit)
1,-80.80,0.00
2,-51.42,4.00
3,-58.75,0.00
4,-24.45,0.00